[1]
{
  "formula": "FeNiTe3",
  "functional": "GGA-PBE",
  "state": "optimized geometry",
  "e_tot_ev_per_cell": -20.01,
  "e_form_raw_ev_per_atom": 0.7319,
  "relative_energy_mev_per_atom": 838,
  "dos_ef_per_ev_atom": 2.068,
  "cell": [[5.0371, 0.0000, 0.0000], [0.0000, 5.0371, 0.0000], [0.0000, 0.0000, 5.0371]],
  "species": ["Fe", "Ni", "Te", "Te", "Te"],
  "fractional_positions": [[0.0000, 0.0000, 0.0000], [0.5000, 0.5000, 0.5000], [0.0000, 0.5000, 0.5000], [0.5000, 0.0000, 0.5000], [0.5000, 0.5000, 0.0000]]
}

[2]
{
  "formula": "Tl2CdPt",
  "functional": "GGA-PBE",
  "state": "optimized geometry",
  "e_tot_ev_per_cell": -11.38,
  "relative_energy_mev_per_atom": 155,
  "dos_ef_per_ev_atom": 0.306,
  "e_form_mev_per_atom": 78,
  "cell": [[1.9461, 1.1236, 7.9173], [-1.9461, 1.1236, 7.9173], [0.0000, -2.2471, 7.9173]],
  "species": ["Tl", "Tl", "Cd", "Pt"],
  "fractional_positions": [[0.2377, 0.2377, 0.2377], [0.7623, 0.7623, 0.7623], [0.0000, 0.0000, 0.0000], [0.5000, 0.5000, 0.5000]]
}

[3]
{
  "formula": "Ba2Ag2Au",
  "functional": "GGA-PBE",
  "state": "optimized geometry",
  "e_tot_ev_per_cell": -27.84,
  "relative_energy_mev_per_atom": 211,
  "dos_ef_per_ev_atom": 0.510,
  "e_form_mev_per_atom": -219,
  "cell": [[8.9772, 0.0000, 0.0000], [0.0000, 8.9772, 0.0000], [0.0000, 0.0000, 4.5451]],
  "species": ["Ba", "Ba", "Ba", "Ba", "Ag", "Ag", "Ag", "Ag", "Au", "Au"],
  "fractional_positions": [[0.1797, 0.3203, 0.0000], [0.3203, 0.8203, 0.0000], [0.6797, 0.1797, 0.0000], [0.8203, 0.6797, 0.0000], [0.1122, 0.6122, 0.5000], [0.3878, 0.1122, 0.5000], [0.6122, 0.8878, 0.5000], [0.8878, 0.3878, 0.5000], [0.0000, 0.0000, 0.0000], [0.5000, 0.5000, 0.0000]]
}

[4]
{
  "formula": "CeTh3",
  "functional": "GGA-PBE",
  "state": "optimized geometry",
  "e_tot_ev_per_cell": -27.93,
  "relative_energy_mev_per_atom": 56,
  "dos_ef_per_ev_atom": 1.922,
  "e_form_mev_per_atom": 66,
  "cell": [[-1.7500, 5.9035, 3.0467], [1.7500, -5.9035, 3.0467], [1.7500, 5.9035, -3.0467]],
  "species": ["Ce", "Th", "Th", "Th"],
  "fractional_positions": [[0.0000, 0.0000, 0.0000], [0.4336, 0.6837, 0.7499], [0.5022, 0.0022, 0.5000], [0.9338, 0.6837, 0.2501]]
}

[5]
{
  "formula": "ErNpHg2",
  "functional": "GGA-PBE",
  "state": "optimized geometry",
  "e_tot_ev_per_cell": -18.29,
  "relative_energy_mev_per_atom": 15,
  "dos_ef_per_ev_atom": 2.101,
  "e_form_mev_per_atom": -45,
  "cell": [[5.4672, 0.0000, 0.0000], [0.0000, 5.4672, 0.0000], [0.0000, 0.0000, 3.4159]],
  "species": ["Er", "Np", "Hg", "Hg"],
  "fractional_positions": [[0.0000, 0.0000, 0.0000], [0.5000, 0.5000, 0.0000], [0.0000, 0.5000, 0.5000], [0.5000, 0.0000, 0.5000]]
}

[6]
{
  "formula": "KLiY",
  "functional": "GGA-PBE",
  "state": "optimized geometry",
  "e_tot_ev_per_cell": -8.52,
  "relative_energy_mev_per_atom": 0,
  "dos_ef_per_ev_atom": 1.143,
  "e_form_mev_per_atom": 320,
  "cell": [[3.6575, 0.0000, 0.0000], [-1.8288, 3.1675, 0.0000], [0.0000, 0.0000, 9.4563]],
  "species": ["K", "Li", "Y"],
  "fractional_positions": [[0.0000, 0.0000, 0.0000], [0.6667, 0.3333, 0.3483], [0.3333, 0.6667, 0.6188]]
}

[7]
{
  "formula": "SrTcOs",
  "functional": "GGA-PBE",
  "state": "optimized geometry",
  "e_tot_ev_per_cell": -45.05,
  "relative_energy_mev_per_atom": 0,
  "dos_ef_per_ev_atom": 1.103,
  "e_form_mev_per_atom": 250,
  "cell": [[4.5094, 0.0000, 0.0000], [0.0000, 4.5094, 0.0000], [0.0000, 0.0000, 7.1168]],
  "species": ["Sr", "Sr", "Tc", "Tc", "Os", "Os"],
  "fractional_positions": [[0.2500, 0.2500, 0.1544], [0.7500, 0.7500, 0.8456], [0.2500, 0.7500, 0.5000], [0.7500, 0.2500, 0.5000], [0.2500, 0.2500, 0.6485], [0.7500, 0.7500, 0.3515]]
}

[8]
{
  "formula": "GeBiNO2",
  "functional": "GGA-PBE",
  "state": "optimized geometry",
  "e_tot_ev_per_cell": -29.40,
  "e_form_raw_ev_per_atom": -0.5327,
  "dos_ef_per_ev_atom": 0.024,
  "cell": [[3.8207, 0.0000, 0.0000], [0.0000, 3.8207, 0.0000], [0.0000, 0.0000, 3.9651]],
  "species": ["Ge", "Bi", "N", "O", "O"],
  "fractional_positions": [[0.0000, 0.0000, 0.0000], [0.5000, 0.5000, 0.5000], [0.0000, 0.0000, 0.5000], [0.0000, 0.5000, 0.0000], [0.5000, 0.0000, 0.0000]]
}

[9]
{
  "formula": "CaCd",
  "functional": "GGA-PBE",
  "state": "optimized geometry",
  "e_tot_ev_per_cell": -6.75,
  "dos_ef_per_ev_atom": 0.455,
  "e_form_mev_per_atom": -228,
  "cell": [[3.9853, 0.0000, 0.0000], [0.0000, 3.9853, 0.0000], [0.0000, 0.0000, 7.4597]],
  "species": ["Ca", "Ca", "Cd", "Cd"],
  "fractional_positions": [[0.2500, 0.2500, 0.1722], [0.7500, 0.7500, 0.8278], [0.2500, 0.2500, 0.6114], [0.7500, 0.7500, 0.3886]]
}

[10]
{
  "formula": "CrInMo",
  "functional": "GGA-PBE",
  "state": "optimized geometry",
  "e_tot_ev_per_cell": -21.94,
  "relative_energy_mev_per_atom": 169,
  "dos_ef_per_ev_atom": 0.967,
  "e_form_mev_per_atom": 416,
  "cell": [[0.0000, 2.4167, 6.6861], [1.5578, 0.0000, 6.6861], [1.5578, 2.4167, 0.0000]],
  "species": ["Cr", "In", "Mo"],
  "fractional_positions": [[0.0000, 0.0000, 0.0000], [0.3246, 0.3246, 0.6754], [0.6371, 0.6371, 0.3629]]
}

[11]
{
  "formula": "LiAg5Br2Cl4",
  "functional": "GGA-PBE",
  "state": "optimized geometry",
  "e_tot_ev_per_cell": -34.25,
  "e_form_raw_ev_per_atom": -0.6127,
  "cell": [[7.8502, 0.0000, 0.0000], [0.0000, 5.8812, 3.2696], [0.0000, -5.8812, 3.2696]],
  "species": ["Li", "Ag", "Ag", "Ag", "Ag", "Ag", "Br", "Br", "Cl", "Cl", "Cl", "Cl"],
  "fractional_positions": [[0.0000, 0.0000, 0.0000], [0.2368, 0.2373, 0.6276], [0.2368, 0.6276, 0.2373], [0.5000, 0.9856, 0.9856], [0.7632, 0.2373, 0.6276], [0.7632, 0.6276, 0.2373], [0.5000, 0.5311, 0.8738], [0.5000, 0.8738, 0.5311], [0.0000, 0.6243, 0.9610], [0.0000, 0.9610, 0.6243], [0.2357, 0.2279, 0.2279], [0.7643, 0.2279, 0.2279]]
}

[12]
{
  "formula": "Li2NbSbO6",
  "functional": "GGA-PBE",
  "state": "optimized geometry",
  "e_tot_ev_per_cell": -67.31,
  "e_form_raw_ev_per_atom": -1.9542,
  "dos_ef_per_ev_atom": 0.000,
  "cell": [[5.6134, 0.0000, 0.0000], [0.0000, 5.6134, 0.0000], [0.0000, 0.0000, 4.0185]],
  "species": ["Li", "Li", "Nb", "Sb", "O", "O", "O", "O", "O", "O"],
  "fractional_positions": [[0.0000, 0.5000, 0.0000], [0.5000, 0.0000, 0.0000], [0.0000, 0.0000, 0.7265], [0.5000, 0.5000, 0.7601], [0.0000, 0.0000, 0.2758], [0.2503, 0.2503, 0.8040], [0.2503, 0.7497, 0.8040], [0.5000, 0.5000, 0.2735], [0.7497, 0.2503, 0.8040], [0.7497, 0.7497, 0.8040]]
}

[13]
{
  "formula": "Tm6SnRh2",
  "functional": "GGA-PBE",
  "state": "optimized geometry",
  "e_tot_ev_per_cell": -103.22,
  "dos_ef_per_ev_atom": 0.853,
  "e_form_mev_per_atom": -675,
  "cell": [[-4.6365, 4.7517, 5.1233], [4.6365, -4.7517, 5.1233], [4.6365, 4.7517, -5.1233]],
  "species": ["Tm", "Tm", "Tm", "Tm", "Tm", "Tm", "Tm", "Tm", "Tm", "Tm", "Tm", "Tm", "Sn", "Sn", "Rh", "Rh", "Rh", "Rh"],
  "fractional_positions": [[0.0328, 0.2378, 0.7950], [0.1813, 0.2886, 0.4699], [0.1813, 0.7114, 0.8927], [0.3302, 0.0233, 0.6931], [0.3302, 0.6372, 0.3069], [0.4427, 0.2378, 0.2050], [0.5573, 0.7622, 0.7950], [0.6698, 0.3628, 0.6931], [0.6698, 0.9767, 0.3069], [0.8187, 0.2886, 0.1073], [0.8187, 0.7114, 0.5301], [0.9672, 0.7622, 0.2050], [0.0000, 0.0000, 0.0000], [0.5000, 0.5000, 0.0000], [0.1340, 0.6340, 0.5000], [0.3354, 0.0000, 0.3354], [0.6646, 0.0000, 0.6646], [0.8660, 0.3660, 0.5000]]
}

[14]
{
  "formula": "Sm2MgSn3",
  "functional": "GGA-PBE",
  "state": "optimized geometry",
  "e_tot_ev_per_cell": -51.98,
  "dos_ef_per_ev_atom": 0.613,
  "e_form_mev_per_atom": -492,
  "cell": [[5.4587, -3.1684, 0.0000], [5.4587, 3.1684, 0.0000], [-5.1502, 0.0000, 9.3926]],
  "species": ["Sm", "Sm", "Sm", "Sm", "Mg", "Mg", "Sn", "Sn", "Sn", "Sn", "Sn", "Sn"],
  "fractional_positions": [[0.0772, 0.2740, 0.0896], [0.2740, 0.0772, 0.5896], [0.7260, 0.9228, 0.4104], [0.9228, 0.7260, 0.9104], [0.3204, 0.6796, 0.7500], [0.6796, 0.3204, 0.2500], [0.1771, 0.8229, 0.2500], [0.2505, 0.4572, 0.4294], [0.4572, 0.2505, 0.9294], [0.5428, 0.7495, 0.0706], [0.7495, 0.5428, 0.5706], [0.8229, 0.1771, 0.7500]]
}

[15]
{
  "formula": "Sc2Be2AlFe5",
  "functional": "GGA-PBE",
  "state": "optimized geometry",
  "e_tot_ev_per_cell": -136.05,
  "dos_ef_per_ev_atom": 0.802,
  "e_form_mev_per_atom": -185,
  "cell": [[8.6287, 0.0000, 0.0000], [0.0000, 8.6287, 0.0000], [0.0000, 0.0000, 3.4032]],
  "species": ["Sc", "Sc", "Sc", "Sc", "Be", "Be", "Be", "Be", "Al", "Al", "Fe", "Fe", "Fe", "Fe", "Fe", "Fe", "Fe", "Fe", "Fe", "Fe"],
  "fractional_positions": [[0.1777, 0.3223, 0.0000], [0.3223, 0.8223, 0.0000], [0.6777, 0.1777, 0.0000], [0.8223, 0.6777, 0.0000], [0.1158, 0.6158, 0.0000], [0.3842, 0.1158, 0.0000], [0.6158, 0.8842, 0.0000], [0.8842, 0.3842, 0.0000], [0.0000, 0.0000, 0.0000], [0.5000, 0.5000, 0.0000], [0.0000, 0.5000, 0.5000], [0.0666, 0.7853, 0.5000], [0.2147, 0.0666, 0.5000], [0.2853, 0.5666, 0.5000], [0.4334, 0.2853, 0.5000], [0.5000, 0.0000, 0.5000], [0.5666, 0.7147, 0.5000], [0.7147, 0.4334, 0.5000], [0.7853, 0.9334, 0.5000], [0.9334, 0.2147, 0.5000]]
}

[16]
{
  "formula": "Y2ThSc",
  "functional": "GGA-PBE",
  "state": "optimized geometry",
  "e_tot_ev_per_cell": -53.08,
  "relative_energy_mev_per_atom": 0,
  "dos_ef_per_ev_atom": 1.507,
  "e_form_mev_per_atom": 35,
  "cell": [[5.8197, -1.7677, 0.0000], [5.8197, 1.7677, 0.0000], [-2.2241, 0.0000, 11.8080]],
  "species": ["Y", "Y", "Y", "Y", "Th", "Th", "Sc", "Sc"],
  "fractional_positions": [[0.1221, 0.1221, 0.4336], [0.3671, 0.3671, 0.3054], [0.6329, 0.6329, 0.6946], [0.8779, 0.8779, 0.5664], [0.1234, 0.1234, 0.9437], [0.8766, 0.8766, 0.0563], [0.3789, 0.3789, 0.8191], [0.6211, 0.6211, 0.1809]]
}

[17]
{
  "formula": "K4HAuCl2",
  "functional": "GGA-PBE",
  "state": "optimized geometry",
  "e_tot_ev_per_cell": -23.21,
  "dos_ef_per_ev_atom": 0.000,
  "cell": [[7.8276, 0.0000, 0.0000], [0.0000, 4.4821, 0.0000], [-2.5694, 0.0000, 7.4111]],
  "species": ["K", "K", "K", "K", "H", "Au", "Cl", "Cl"],
  "fractional_positions": [[0.2444, 0.0000, 0.2320], [0.2545, 0.5000, 0.7649], [0.7455, 0.5000, 0.2351], [0.7556, 0.0000, 0.7680], [0.5000, 0.0000, 0.0000], [0.5000, 0.5000, 0.5000], [0.0000, 0.0000, 0.5000], [0.0000, 0.5000, 0.0000]]
}